# 1
# KSbPt3

A relaxed structure of KSbPt3 (PBE, Alexandria via LeMat-Bulk).

**Offset from the most stable computed form**: 558 meV/atom
**Raw formation energy**: 0.29 eV/atom

```
KSbPt3
1.0
-2.682 3.589 2.374
0.189 -2.696 4.289
4.298 2.357 1.292
Pt Sb K
3 1 1
direct
0.000 0.500 0.000
0.000 0.000 0.500
0.500 0.000 0.000
0.000 0.000 0.000
0.500 0.500 0.500
```

=====

# 2
# K2Sb5Pt3

A relaxed structure of K2Sb5Pt3 (PBE, Alexandria via LeMat-Bulk).

**Raw formation energy**: -0.41 eV/atom

```
K2Sb5Pt3
1.0
-1.810 6.758 -0.398
-8.652 1.109 -3.502
-5.834 2.479 6.941
K Sb Pt
4 10 6
direct
0.136 0.612 0.117
0.364 0.883 0.388
0.864 0.388 0.883
0.636 0.117 0.612
0.501 0.749 0.749
0.902 0.954 0.242
0.750 0.500 0.500
0.999 0.251 0.251
0.499 0.251 0.251
0.402 0.242 0.954
0.098 0.046 0.758
0.250 0.500 0.500
0.598 0.758 0.046
0.001 0.749 0.749
0.750 0.000 0.000
0.373 0.515 0.738
0.873 0.738 0.515
0.627 0.485 0.262
0.250 0.000 0.000
0.127 0.262 0.485
```

=====

# 3
# KSbPt3

A relaxed structure of KSbPt3 (PBE, Alexandria via LeMat-Bulk).

**Offset from the most stable computed form**: 0 meV/atom
**Raw formation energy**: -0.27 eV/atom

```
KSbPt3
1.0
-3.808 -4.042 3.299
4.795 -2.192 2.849
1.265 5.868 2.387
Pt K Sb
6 2 2
direct
0.348 0.948 0.449
0.305 0.198 0.068
0.305 0.697 0.068
0.729 0.197 0.492
0.729 0.698 0.492
0.686 0.448 0.112
0.262 0.448 0.536
0.773 0.948 0.024
0.120 0.948 0.678
0.914 0.448 0.883
```

=====

# 4
# KSb2Pt3

A relaxed structure of KSb2Pt3 (PBE, Alexandria via LeMat-Bulk).

**Offset from the most stable computed form**: 6 meV/atom
**Raw formation energy**: -0.40 eV/atom

```
KSb2Pt3
1.0
4.170 0.000 0.000
-2.085 8.174 0.209
0.000 -3.463 8.345
Pt Sb K
6 4 2
direct
0.418 0.836 0.348
0.687 0.375 0.453
0.582 0.164 0.652
0.054 0.107 0.398
0.946 0.893 0.602
0.313 0.625 0.547
0.811 0.622 0.321
0.533 0.066 0.208
0.189 0.378 0.679
0.467 0.934 0.792
0.150 0.300 0.044
0.850 0.700 0.956
```

=====

# 5
# KSb2Pt5

A relaxed structure of KSb2Pt5 (PBE, Alexandria via LeMat-Bulk).

**Raw formation energy**: -0.26 eV/atom

```
KSb2Pt5
1.0
4.146 0.000 0.000
2.073 6.407 0.394
2.073 1.565 6.226
Pt Sb K
5 2 1
direct
0.641 0.172 0.546
0.359 0.454 0.828
0.000 0.500 0.500
0.641 0.546 0.172
0.359 0.828 0.454
0.255 0.245 0.245
0.745 0.755 0.755
0.000 0.000 0.000
```

=====

# 6
# K2Sb2Pt3

A relaxed structure of K2Sb2Pt3 (PBE, Alexandria via LeMat-Bulk).

**Raw formation energy**: -0.44 eV/atom

```
K2Sb2Pt3
1.0
4.240 0.000 0.000
-2.120 6.281 -1.279
0.000 -4.665 8.343
Pt K Sb
3 2 2
direct
0.318 0.635 0.619
0.682 0.365 0.381
0.500 0.000 0.000
0.919 0.838 0.241
0.081 0.162 0.759
0.184 0.368 0.225
0.816 0.632 0.775
```

=====

# 7
# K2Sb4Pt5

A relaxed structure of K2Sb4Pt5 (PBE, Alexandria via LeMat-Bulk).

**Raw formation energy**: -0.38 eV/atom

```
K2Sb4Pt5
1.0
-3.673 3.590 2.633
-6.228 0.961 -3.671
-4.827 -3.894 4.902
Sb Pt K
4 5 2
direct
0.775 0.697 0.753
0.472 0.303 0.753
0.225 0.303 0.247
0.528 0.697 0.247
0.000 0.500 0.000
0.250 0.500 0.500
0.750 0.500 0.500
0.500 0.000 0.000
0.500 0.500 0.000
0.134 0.000 0.732
0.866 0.000 0.268
```

=====

# 8
# K3Sb4Pt

A relaxed structure of K3Sb4Pt (PBE, Alexandria via LeMat-Bulk).

**Raw formation energy**: -0.32 eV/atom

```
K3Sb4Pt
1.0
6.285 0.000 0.000
0.000 6.783 0.000
0.000 0.000 12.962
Sb K Pt
8 6 2
direct
0.987 0.761 0.500
0.349 0.500 0.872
0.987 0.239 0.500
0.651 0.000 0.628
0.013 0.261 0.000
0.013 0.739 0.000
0.349 0.500 0.128
0.651 0.000 0.372
0.157 0.000 0.246
0.843 0.500 0.746
0.157 0.000 0.754
0.525 0.000 0.000
0.843 0.500 0.254
0.475 0.500 0.500
0.324 0.000 0.500
0.676 0.500 0.000
```

=====

# 9
# K4Sb4Pt

A relaxed structure of K4Sb4Pt (PBE, Alexandria via LeMat-Bulk).

**Raw formation energy**: -0.33 eV/atom

```
K4Sb4Pt
1.0
5.144 -9.353 0.304
-3.660 -10.023 0.432
-0.793 9.517 -4.780
K Sb Pt
4 4 1
direct
0.911 0.387 0.000
0.613 0.613 0.525
0.089 0.089 0.475
0.387 0.911 0.000
0.324 0.324 0.577
0.747 0.747 0.423
0.253 0.676 0.000
0.676 0.253 0.000
0.000 0.000 0.000
```

=====

# 10
# KSbPt

A relaxed structure of KSbPt (PBE, Alexandria via LeMat-Bulk).

**Offset from the most stable computed form**: 92 meV/atom
**Raw formation energy**: -0.42 eV/atom

```
KSbPt
1.0
5.557 0.000 0.000
0.000 6.777 0.000
0.000 0.000 9.167
Sb K Pt
4 4 4
direct
0.542 0.642 0.969
0.542 0.358 0.469
0.042 0.358 0.031
0.042 0.642 0.531
0.548 0.864 0.369
0.048 0.864 0.131
0.548 0.136 0.869
0.048 0.136 0.631
0.417 0.425 0.199
0.917 0.575 0.801
0.417 0.575 0.699
0.917 0.425 0.301
```

=====

# 11
# KSb2Pt

A relaxed structure of KSb2Pt (PBE, Alexandria via LeMat-Bulk).

**Offset from the most stable computed form**: 192 meV/atom
**Raw formation energy**: -0.30 eV/atom

```
KSb2Pt
1.0
-1.501 0.753 -6.226
1.528 -5.040 -3.721
-3.484 2.557 4.786
K Sb Pt
1 2 1
direct
0.250 0.750 0.500
0.945 0.945 0.000
0.555 0.555 0.000
0.750 0.250 0.500
```

=====

# 12
# KSb3Pt2

A relaxed structure of KSb3Pt2 (PBE, Alexandria via LeMat-Bulk).

**Raw formation energy**: -0.37 eV/atom

```
KSb3Pt2
1.0
8.575 0.000 0.000
4.287 7.426 0.000
4.287 2.475 5.904
Sb Pt K
6 4 2
direct
0.718 0.227 0.828
0.282 0.773 0.172
0.227 0.718 0.828
0.227 0.227 0.828
0.773 0.773 0.172
0.773 0.282 0.172
0.000 0.500 0.000
0.500 0.500 0.000
0.500 0.000 0.000
0.000 0.000 0.000
0.791 0.791 0.627
0.209 0.209 0.373
```

=====

# 13
# KSb2Pt

A relaxed structure of KSb2Pt (PBE, Alexandria via LeMat-Bulk).

**Offset from the most stable computed form**: 551 meV/atom
**Raw formation energy**: 0.06 eV/atom

```
KSb2Pt
1.0
0.000 3.627 3.627
3.627 0.000 3.627
3.627 3.627 0.000
Pt Sb K
1 2 1
direct
0.500 0.500 0.500
0.250 0.250 0.250
0.750 0.750 0.750
0.000 0.000 0.000
```

=====

# 14
# KSb2Pt3

A relaxed structure of KSb2Pt3 (PBE, Alexandria via LeMat-Bulk).

**Offset from the most stable computed form**: 0 meV/atom
**Raw formation energy**: -0.40 eV/atom

```
KSb2Pt3
1.0
4.351 -0.339 1.041
0.784 7.034 3.856
0.117 0.413 9.551
Sb Pt K
4 6 2
direct
0.280 0.342 0.282
0.720 0.658 0.718
0.437 0.803 0.235
0.563 0.197 0.765
0.872 0.762 0.397
0.295 0.550 0.623
0.708 0.039 0.562
0.705 0.450 0.377
0.292 0.961 0.438
0.128 0.238 0.603
0.074 0.782 0.934
0.926 0.218 0.066
```

=====

# 15
# KSbPt

A relaxed structure of KSbPt (PBE, Alexandria via LeMat-Bulk).

**Offset from the most stable computed form**: 142 meV/atom
**Raw formation energy**: -0.38 eV/atom

```
KSbPt
1.0
-0.893 4.040 -5.180
-3.928 1.916 -4.986
-1.946 2.893 1.265
Sb Pt K
1 1 1
direct
0.718 0.718 0.282
0.282 0.282 0.718
0.000 0.000 0.000
```

=====

# 16
# KSbPtSe2

A relaxed structure of KSbPtSe2 (PBE, Alexandria via LeMat-Bulk).

**Raw formation energy**: 0.20 eV/atom

```
KSbPtSe2
1.0
-1.954 3.653 2.804
-1.353 -3.725 3.910
4.442 0.690 2.195
K Se Sb Pt
1 2 1 1
direct
0.000 0.500 0.000
0.000 0.000 0.500
0.500 0.000 0.000
0.500 0.500 0.500
0.000 0.000 0.000
```

=====

# 17
# K2Sn3SbPt4

A relaxed structure of K2Sn3SbPt4 (PBE, Alexandria via LeMat-Bulk).

**Raw formation energy**: -0.48 eV/atom

```
K2Sn3SbPt4
1.0
-1.359 3.230 -3.271
-4.088 -2.409 -0.680
-4.628 5.718 7.570
K Pt Sb Sn
2 4 1 3
direct
0.000 0.500 0.756
0.500 0.000 0.244
0.000 0.500 0.377
0.500 0.000 0.623
0.000 0.000 0.000
0.500 0.500 0.000
0.500 0.500 0.500
0.500 0.000 0.880
0.000 0.000 0.500
0.000 0.500 0.120
```

=====

# 18
# KSb2TePt

A relaxed structure of KSb2TePt (PBE, Alexandria via LeMat-Bulk).

**Offset from the most stable computed form**: 1754 meV/atom
**Raw formation energy**: 1.69 eV/atom

```
KSb2TePt
1.0
-1.754 -3.926 -3.767
5.431 -1.502 -0.963
-0.328 -3.871 4.188
Pt Te K Sb
1 1 1 2
direct
0.500 0.500 0.500
0.000 0.000 0.500
0.000 0.000 0.000
0.000 0.500 0.000
0.500 0.000 0.000
```

=====

# 19
# KSbTe2Pt

A relaxed structure of KSbTe2Pt (PBE, Alexandria via LeMat-Bulk).

**Offset from the most stable computed form**: 1745 meV/atom
**Raw formation energy**: 1.60 eV/atom

```
KSbTe2Pt
1.0
-5.725 -0.829 -0.335
0.550 -1.555 -5.555
0.696 -5.448 1.594
Te Sb Pt K
2 1 1 1
direct
0.500 0.000 0.000
0.000 0.500 0.000
0.000 0.000 0.500
0.500 0.500 0.500
0.000 0.000 0.000
```

=====

# 20
# KSb2TePt

A relaxed structure of KSb2TePt (PBE, Alexandria via LeMat-Bulk).

**Offset from the most stable computed form**: 0 meV/atom
**Raw formation energy**: -0.06 eV/atom

```
KSb2TePt
1.0
5.268 0.000 0.000
0.000 5.268 0.000
0.000 0.000 5.879
K Sb Te Pt
1 2 1 1
direct
0.500 0.500 0.500
0.500 0.000 0.000
0.000 0.500 0.000
0.000 0.000 0.500
0.000 0.000 0.000
```

=====

Here are the calculated raw total energy numbers, same order: -4.38; -4.51; -4.94; -4.97; -5.20; -4.52; -4.83; -3.55; -3.32; -4.18; -4.14; -4.63; -3.78; -4.98; -4.13; -3.45; -4.73; -2.01; -1.91; -3.76 (eV per atom).